# 1
First-principles (PBE) data for a geometry-optimized SrInHg2Bi structure, as listed in the Alexandria database.

Calculated values
Formation energy in kJ/mol of formula units: 233.2
Total magnetic moment in μB/cell: 0.0
Electronic total energy in eV per atom: -1.30

Unit cell a=5.9112 b=5.9112 c=6.2728 alpha=90.00 beta=90.00 gamma=90.00
Space group P4/mmm (No. 123)
Inequivalent atoms, fractional coordinates:
Sr1 0.0000 0.0000 0.0000 x1
In1 0.0000 0.0000 0.5000 x1
Hg1 0.0000 0.5000 0.0000 x2
Bi1 0.5000 0.5000 0.5000 x1


# 2
First-principles (PBE) data for a geometry-optimized BaNaH2 structure, as listed in the Alexandria database.

Calculated values
Energy above the lowest structure with this stoichiometry in eV per atom: 0.071
Total magnetic moment in μB/cell: 3.6
Electronic total energy in eV per atom: -2.60

Unit cell a=5.5536 b=5.5536 c=12.0026 alpha=90.00 beta=90.00 gamma=90.00
Space group I-42d (No. 122)
Inequivalent atoms, fractional coordinates:
Ba1 0.0000 0.0000 0.0000 x4
Na1 0.0000 0.0000 0.5000 x4
H1 0.2131 0.2500 0.6250 x8


# 3
First-principles (PBE) data for a geometry-optimized Ho8Co2S structure, as listed in the Alexandria database.

Calculated values
Formation energy without anion corrections in meV per atom: -429
Total magnetic moment in μB/cell: 0.0
Electronic total energy in eV per atom: -5.43

Unit cell a=17.6935 b=3.7159 c=8.6162 alpha=90.00 beta=97.56 gamma=90.00
Space group C2/m (No. 12)
Inequivalent atoms, fractional coordinates:
Ho1 0.0112 0.0000 0.2222 x4
Ho2 0.1014 0.5000 0.5647 x4
Ho3 0.1598 0.5000 0.9759 x4
Ho4 0.2135 0.0000 0.3266 x4
Co1 0.1863 0.0000 0.7586 x4
S1 0.0000 0.5000 0.0000 x2


# 4
First-principles (PBE) data for a geometry-optimized KZn2InPb structure, as listed in the Alexandria database.

Calculated values
Formation energy in kJ/mol of formula units: 128.4
Total magnetic moment in μB/cell: 0.0
Electronic total energy in eV per atom: -1.75

Unit cell a=5.3395 b=5.3395 c=5.9716 alpha=90.00 beta=90.00 gamma=90.00
Space group P4/mmm (No. 123)
Inequivalent atoms, fractional coordinates:
K1 0.0000 0.0000 0.0000 x1
Zn1 0.0000 0.5000 0.5000 x2
In1 0.5000 0.5000 0.5000 x1
Pb1 0.5000 0.5000 0.0000 x1


# 5
First-principles (PBE) data for a geometry-optimized SrAc2La2 structure, as listed in the Alexandria database.

Calculated values
Formation energy in kJ/mol of formula units: 25.1
Total magnetic moment in μB/cell: 0.0
Electronic total energy in eV per atom: -3.90

Unit cell a=6.0042 b=18.7710 c=3.8915 alpha=90.00 beta=90.00 gamma=90.00
Space group Cmmm (No. 65)
Inequivalent atoms, fractional coordinates:
Sr1 0.0000 0.0000 0.0000 x2
Ac1 0.0000 0.3820 0.5000 x4
La1 0.0000 0.2047 0.0000 x4


# 6
First-principles (PBE) data for a geometry-optimized PrMoAs2 structure, as listed in the Alexandria database.

Calculated values
Formation energy in kJ/mol of formula units: -228.0
Total magnetic moment in μB/cell: 5.8
Electronic total energy in eV per atom: -6.82

Unit cell a=4.0744 b=4.0744 c=18.4107 alpha=90.00 beta=90.00 gamma=120.00
Space group R-3m (No. 166, hexagonal axes)
Inequivalent atoms, fractional coordinates:
Pr1 0.0000 0.0000 0.0000 x3
Mo1 0.0000 0.0000 0.5000 x3
As1 0.0000 0.0000 0.2338 x6


# 7
First-principles (PBE) data for a geometry-optimized MgScTc structure, as listed in the Alexandria database.

Calculated values
Formation energy in kJ/mol of formula units: 22.2
Energy above the lowest structure with this stoichiometry in eV per atom: 0.039
Total magnetic moment in μB/cell: 0.0
Electronic total energy in eV per atom: -6.02

Unit cell a=2.8852 b=4.2647 c=8.8232 alpha=90.00 beta=90.00 gamma=90.00
Space group Imm2 (No. 44)
Inequivalent atoms, fractional coordinates:
Mg1 0.0000 0.0000 0.0000 x2
Sc1 0.0000 0.0000 0.6815 x2
Tc1 0.0000 0.0000 0.3371 x2


# 8
First-principles (PBE) data for a geometry-optimized Pa2Be3Si4Ru structure, as listed in the Alexandria database.

Calculated values
Formation energy without anion corrections in meV per atom: -441
Total magnetic moment in μB/cell: 0.0
Electronic total energy in eV per atom: -6.55

Unit cell a=3.9889 b=3.9889 c=9.3887 alpha=90.00 beta=90.00 gamma=90.00
Space group P-4m2 (No. 115)
Inequivalent atoms, fractional coordinates:
Pa1 0.0000 0.5000 0.2472 x2
Be1 0.0000 0.5000 0.8766 x2
Be2 0.5000 0.5000 0.5000 x1
Si1 0.0000 0.0000 0.0000 x1
Si2 0.0000 0.5000 0.6396 x2
Si3 0.5000 0.5000 0.0000 x1
Ru1 0.0000 0.0000 0.5000 x1


# 9
First-principles (PBE) data for a geometry-optimized Tb6OsRu2 structure, as listed in the Alexandria database.

Calculated values
Formation energy in kJ/mol of formula units: -193.3
Energy above the lowest structure with this stoichiometry in eV per atom: 0.058
Total magnetic moment in μB/cell: 0.0
Electronic total energy in eV per atom: -6.62

Unit cell a=6.6219 b=7.2440 c=11.5629 alpha=90.00 beta=123.14 gamma=90.00
Space group P2_1/c (No. 14)
Inequivalent atoms, fractional coordinates:
Tb1 0.0741 0.0322 0.2405 x4
Tb2 0.2222 0.6658 0.0726 x4
Tb3 0.3996 0.1711 0.0785 x4
Os1 0.5000 0.0000 0.5000 x2
Ru1 0.3256 0.1469 0.7934 x4


# 10
First-principles (PBE) data for a geometry-optimized HoPu3 structure, as listed in the Alexandria database.

Calculated values
Formation energy in kJ/mol of formula units: 99.3
Energy above the lowest structure with this stoichiometry in eV per atom: 0.008
Total magnetic moment in μB/cell: 5.3
Electronic total energy in eV per atom: -11.64

Unit cell a=3.7707 b=4.9838 c=5.2974 alpha=90.00 beta=90.00 gamma=90.00
Space group Pmm2 (No. 25)
Inequivalent atoms, fractional coordinates:
Ho1 0.0000 0.0000 0.0000 x1
Pu1 0.0000 0.5000 0.5210 x1
Pu2 0.5000 0.0000 0.5125 x1
Pu3 0.5000 0.5000 0.2155 x1


# 11
First-principles (PBE) data for a geometry-optimized Zn2InTc structure, as listed in the Alexandria database.

Calculated values
Formation energy in kJ/mol of formula units: 53.2
Total magnetic moment in μB/cell: 0.5
Electronic total energy in eV per atom: -3.78

Unit cell a=4.0316 b=4.0316 c=3.9365 alpha=90.00 beta=90.00 gamma=90.00
Space group P4/mmm (No. 123)
Inequivalent atoms, fractional coordinates:
Zn1 0.0000 0.5000 0.0000 x2
In1 0.0000 0.0000 0.5000 x1
Tc1 0.5000 0.5000 0.5000 x1


# 12
First-principles (PBE) data for a geometry-optimized FeSi2CN structure, as listed in the Alexandria database.

Calculated values
Formation energy without anion corrections in meV per atom: 1374
Energy above the lowest structure with this stoichiometry in eV per atom: 0.000
Total magnetic moment in μB/cell: 2.5
Electronic total energy in eV per atom: -6.00

Unit cell a=3.9383 b=3.9383 c=3.7510 alpha=90.00 beta=90.00 gamma=90.00
Space group P4/mmm (No. 123)
Inequivalent atoms, fractional coordinates:
Fe1 0.0000 0.0000 0.0000 x1
Si1 0.0000 0.5000 0.5000 x2
C1 0.0000 0.0000 0.5000 x1
N1 0.5000 0.5000 0.0000 x1